Record 1
Computed, not measured: a geometry-optimized NbAsCl2 structure at the GGA-PBE level of DFT.

Calculated values
E_form (uncorrected)   -0.442 eV/atom
V   24.57 A^3/atom
SG   No. 166
Magnetic moment   0.000 μB/atom
Energy relative to the lowest polymorph listed for this composition   0 meV/atom
DOS at the Fermi energy   0.614 states/eV per atom

Cell and atoms, written as POSCAR:
```
NbAsCl2
1.0
1.546 0.892 11.875
-1.546 0.892 11.875
0.000 -1.785 11.875
Nb As Cl
1 1 2
Direct
0.000 0.000 0.000 Nb
0.500 0.500 0.500 As
0.384 0.384 0.384 Cl
0.616 0.616 0.616 Cl
```

---

Record 2
Computed, not measured: a geometry-optimized CePmNi2P2 structure at the GGA-PBE level of DFT.

Calculated values
V   17.88 A^3/atom
SG   No. 164
DFT formation energy   -1.181 eV per atom
Magnetic moment   0.098 μB/atom
DOS at the Fermi energy   0.839 states/eV per atom

Cell and atoms, written as POSCAR:
```
CePmNi2P2
1.0
3.949 0.000 0.000
-1.974 3.420 0.000
0.000 0.000 7.946
Ce Pm Ni P
1 1 2 2
Direct
0.000 0.000 0.000 Ce
0.000 0.000 0.500 Pm
0.333 0.667 0.237 Ni
0.667 0.333 0.763 Ni
0.333 0.667 0.748 P
0.667 0.333 0.252 P
```

---

Record 3
Computed, not measured: a geometry-optimized Sr5Ca3H12 structure at the GGA-PBE level of DFT.

Calculated values
V   19.45 A^3/atom
SG   No. 230
VASP energy   -3.055 eV/atom
Magnetic moment   0.199 μB/atom
DOS at the Fermi energy   0.347 states/eV per atom

Cell and atoms, written as POSCAR:
```
Sr5Ca3H12
1.0
-7.300 7.300 7.300
7.300 -7.300 7.300
7.300 7.300 -7.300
Sr Ca H
20 12 48
Direct
0.000 0.000 0.000 Sr
0.000 0.000 0.500 Sr
0.000 0.500 0.000 Sr
0.000 0.500 0.500 Sr
0.125 0.750 0.875 Sr
0.125 0.875 0.250 Sr
0.250 0.125 0.875 Sr
0.250 0.625 0.375 Sr
0.375 0.250 0.625 Sr
0.375 0.625 0.750 Sr
0.500 0.000 0.000 Sr
0.500 0.000 0.500 Sr
0.500 0.500 0.000 Sr
0.500 0.500 0.500 Sr
0.625 0.375 0.250 Sr
0.625 0.750 0.375 Sr
0.750 0.375 0.625 Sr
0.750 0.875 0.125 Sr
0.875 0.125 0.750 Sr
0.875 0.250 0.125 Sr
0.125 0.250 0.375 Ca
0.125 0.375 0.750 Ca
0.250 0.375 0.125 Ca
0.250 0.875 0.625 Ca
0.375 0.125 0.250 Ca
0.375 0.750 0.125 Ca
0.625 0.250 0.875 Ca
0.625 0.875 0.750 Ca
0.750 0.125 0.375 Ca
0.750 0.625 0.875 Ca
0.875 0.625 0.250 Ca
0.875 0.750 0.625 Ca
0.040 0.706 0.658 H
0.040 0.834 0.383 H
0.048 0.206 0.166 H
0.048 0.342 0.883 H
0.117 0.666 0.460 H
0.117 0.952 0.658 H
0.158 0.206 0.540 H
0.158 0.452 0.617 H
0.166 0.048 0.206 H
0.166 0.617 0.960 H
0.206 0.166 0.048 H
0.206 0.540 0.158 H
0.294 0.342 0.960 H
0.294 0.452 0.334 H
0.334 0.294 0.452 H
0.334 0.540 0.883 H
0.342 0.883 0.048 H
0.342 0.960 0.294 H
0.383 0.040 0.834 H
0.383 0.842 0.548 H
0.452 0.334 0.294 H
0.452 0.617 0.158 H
0.460 0.117 0.666 H
0.460 0.842 0.794 H
0.540 0.158 0.206 H
0.540 0.883 0.334 H
0.548 0.383 0.842 H
0.548 0.666 0.706 H
0.617 0.158 0.452 H
0.617 0.960 0.166 H
0.658 0.040 0.706 H
0.658 0.117 0.952 H
0.666 0.460 0.117 H
0.666 0.706 0.548 H
0.706 0.548 0.666 H
0.706 0.658 0.040 H
0.794 0.460 0.842 H
0.794 0.834 0.952 H
0.834 0.383 0.040 H
0.834 0.952 0.794 H
0.842 0.548 0.383 H
0.842 0.794 0.460 H
0.883 0.048 0.342 H
0.883 0.334 0.540 H
0.952 0.658 0.117 H
0.952 0.794 0.834 H
0.960 0.166 0.617 H
0.960 0.294 0.342 H
```

---

Record 4
Computed, not measured: a geometry-optimized BaCS structure at the GGA-PBE level of DFT.

Calculated values
E_form (uncorrected)   -0.781 eV/atom
V   26.51 A^3/atom
SG   No. 8
Magnetic moment   0.000 μB/atom
Energy relative to the lowest polymorph listed for this composition   56 meV/atom
DOS at the Fermi energy   0.000 states/eV per atom

Cell and atoms, written as POSCAR:
```
BaCS
1.0
9.549 -2.087 0.000
9.549 2.087 0.000
-0.095 0.000 3.992
Ba C S
2 2 2
Direct
0.000 0.000 0.000 Ba
0.707 0.707 0.025 Ba
0.252 0.252 0.533 C
0.318 0.318 0.517 C
0.405 0.405 0.498 S
0.577 0.577 0.509 S
```

---

Record 5
Computed, not measured: a geometry-optimized Y2MnZn structure at the GGA-PBE level of DFT.

Calculated values
V   24.44 A^3/atom
SG   No. 12
DFT formation energy   0.174 eV per atom
Magnetic moment   0.771 μB/atom
DOS at the Fermi energy   0.982 states/eV per atom

Cell and atoms, written as POSCAR:
```
Y2MnZn
1.0
3.049 -1.768 0.000
3.049 1.768 0.000
-2.061 0.000 9.066
Y Mn Zn
2 1 1
Direct
0.249 0.249 0.247 Y
0.751 0.751 0.753 Y
0.500 0.500 0.000 Mn
0.000 0.000 0.500 Zn
```

---

Record 6
Computed, not measured: a geometry-optimized Pa2Al3Au structure at the GGA-PBE level of DFT.

Calculated values
V   19.73 A^3/atom
SG   No. 194
DFT formation energy   -0.410 eV per atom
Magnetic moment   0.000 μB/atom
Energy relative to the lowest polymorph listed for this composition   0 meV/atom
DOS at the Fermi energy   1.227 states/eV per atom

Cell and atoms, written as POSCAR:
```
Pa2Al3Au
1.0
5.658 0.000 0.000
-2.829 4.900 0.000
0.000 0.000 8.540
Pa Al Au
4 6 2
Direct
0.333 0.667 0.089 Pa
0.333 0.667 0.411 Pa
0.667 0.333 0.589 Pa
0.667 0.333 0.911 Pa
0.173 0.346 0.750 Al
0.173 0.827 0.750 Al
0.346 0.173 0.250 Al
0.654 0.827 0.750 Al
0.827 0.173 0.250 Al
0.827 0.654 0.250 Al
0.000 0.000 0.000 Au
0.000 0.000 0.500 Au
```

---

Question: Among the records above, which one has the lowest V?
Answer: CePmNi2P2

---

Question: Which of these has the highest V?
Answer: BaCS

---

Question: Look up the magnetic moment of the first one.
Answer: 0.000 μB/atom

---

Question: Which formula does entry 5 have?
Answer: Y2MnZn